(a)
# CsRu3Pb

CsRu3Pb after structural relaxation (GGA-PBE, the Alexandria database).

a b c (Å): 4.9895 4.9895 4.9895
angles (deg): 90.00 90.00 90.00
Sites, in units of the cell vectors:
Cs 0.0000 0.0000 0.0000
Ru 0.0000 0.0000 0.5000
Ru 0.0000 0.5000 0.0000
Ru 0.5000 0.0000 0.0000
Pb 0.5000 0.5000 0.5000

Computed properties:
M_tot   3.241 μB/f.u.
Space group   Pm-3m



(b)
# CsRu3Pb

CsRu3Pb after structural relaxation (GGA-PBE, the Alexandria database).

a b c (Å): 5.2063 5.2063 5.2063
angles (deg): 90.00 90.00 90.00
Sites, in units of the cell vectors:
Cs 0.0000 0.0000 0.0000
Ru 0.0000 0.5000 0.5000
Ru 0.5000 0.0000 0.5000
Ru 0.5000 0.5000 0.0000
Pb 0.5000 0.5000 0.5000

Computed properties:
M_tot   4.701 μB/f.u.
Space group   Pm-3m



Energies, relative to the best one, in meV/atom: (a) 654; (b) 0.



(a)
# Cs3PbS

Cs3PbS after structural relaxation (GGA-PBE, the Alexandria database).

a b c (Å): 6.7678 6.7678 6.7678
angles (deg): 90.00 90.00 90.00
Sites, in units of the cell vectors:
Cs 0.0000 0.0000 0.5000
Cs 0.0000 0.5000 0.0000
Cs 0.5000 0.0000 0.0000
Pb 0.5000 0.5000 0.5000
S 0.0000 0.0000 0.0000

Computed properties:
M_tot   3.051 μB/f.u.
Space group   Pm-3m



(b)
# Cs3PbS

Cs3PbS after structural relaxation (GGA-PBE, the Alexandria database).

a b c (Å): 7.0744 7.0744 7.0744
angles (deg): 90.00 90.00 90.00
Sites, in units of the cell vectors:
Cs 0.0000 0.0000 0.5000
Cs 0.0000 0.5000 0.0000
Cs 0.5000 0.0000 0.0000
Pb 0.0000 0.0000 0.0000
S 0.5000 0.5000 0.5000

Computed properties:
M_tot   0.653 μB/f.u.
Space group   Pm-3m



Energies, relative to the best one, in meV/atom: (a) 0; (b) 520.



(a)
# CsPb2S2

CsPb2S2 after structural relaxation (GGA-PBE, the Alexandria database).

a b c (Å): 5.4388 5.4388 11.2234
angles (deg): 90.00 90.00 90.00
Sites, in units of the cell vectors:
Cs 0.0000 0.0000 0.0000
Cs 0.5000 0.5000 0.5000
Pb 0.0000 0.0000 0.3403
Pb 0.0000 0.0000 0.6597
Pb 0.5000 0.5000 0.1597
Pb 0.5000 0.5000 0.8403
S 0.0000 0.5000 0.2500
S 0.0000 0.5000 0.7500
S 0.5000 0.0000 0.2500
S 0.5000 0.0000 0.7500

Computed properties:
M_tot   0.000 μB/f.u.
Space group   I4/mmm



(b)
# CsPb2S2

CsPb2S2 after structural relaxation (GGA-PBE, the Alexandria database).

a b c (Å): 8.0704 8.0704 7.6516
angles (deg): 113.99 113.99 103.16
Sites, in units of the cell vectors:
Cs 0.1249 0.8751 0.7500
Cs 0.8751 0.1249 0.2500
Pb 0.2388 0.4898 0.9783
Pb 0.4898 0.2388 0.4783
Pb 0.5102 0.7612 0.5217
Pb 0.7612 0.5102 0.0217
S 0.1640 0.8360 0.2500
S 0.4145 0.5855 0.7500
S 0.5855 0.4145 0.2500
S 0.8360 0.1640 0.7500

Computed properties:
M_tot   0.000 μB/f.u.
Space group   C2/c



Energies, relative to the best one, in meV/atom: (a) 0; (b) 105.



(a)
# Cs2Pb3S4

Cs2Pb3S4 after structural relaxation (GGA-PBE, the Alexandria database).

a b c (Å): 8.8960 8.8960 8.0394
angles (deg): 93.45 93.45 91.33
Sites, in units of the cell vectors:
Cs 0.0462 0.2589 0.1255
Cs 0.2589 0.0462 0.6255
Cs 0.7411 0.9538 0.3745
Cs 0.9538 0.7411 0.8745
Pb 0.2496 0.4956 0.5846
Pb 0.2961 0.7039 0.2500
Pb 0.4956 0.2496 0.0846
Pb 0.5044 0.7504 0.9154
Pb 0.7039 0.2961 0.7500
Pb 0.7504 0.5044 0.4154
S 0.0529 0.7117 0.4373
S 0.2707 0.5180 0.9219
S 0.2883 0.9471 0.0627
S 0.4820 0.7293 0.5781
S 0.5180 0.2707 0.4219
S 0.7117 0.0529 0.9373
S 0.7293 0.4820 0.0781
S 0.9471 0.2883 0.5627

Computed properties:
M_tot   0.000 μB/f.u.
Space group   C2/c



(b)
# Cs2Pb3S4

Cs2Pb3S4 after structural relaxation (GGA-PBE, the Alexandria database).

a b c (Å): 9.0955 9.0955 8.4325
angles (deg): 90.00 90.00 126.58
Sites, in units of the cell vectors:
Cs 0.1025 0.8975 0.9098
Cs 0.3975 0.6025 0.4098
Cs 0.6025 0.3975 0.5902
Cs 0.8975 0.1025 0.0902
Pb 0.0000 0.0000 0.5000
Pb 0.0402 0.4598 0.7500
Pb 0.4598 0.0402 0.2500
Pb 0.5000 0.5000 0.0000
Pb 0.5402 0.9598 0.7500
Pb 0.9598 0.5402 0.2500
S 0.1964 0.8036 0.5284
S 0.2051 0.2949 0.7500
S 0.2949 0.2051 0.2500
S 0.3036 0.6964 0.0284
S 0.6964 0.3036 0.9716
S 0.7051 0.7949 0.7500
S 0.7949 0.7051 0.2500
S 0.8036 0.1964 0.4716

Computed properties:
M_tot   0.000 μB/f.u.
Space group   Cmce



Energies, relative to the best one, in meV/atom: (a) 0; (b) 27.



(a)
# Cs3Sb4Pb4

Cs3Sb4Pb4 after structural relaxation (GGA-PBE, the Alexandria database).

a b c (Å): 16.7769 16.7769 16.7769
angles (deg): 162.62 160.05 26.58
Sites, in units of the cell vectors:
Cs 0.0000 0.0000 0.0000
Cs 0.1458 0.6458 0.5000
Cs 0.8542 0.3542 0.5000
Sb 0.3032 0.8032 0.5000
Sb 0.4537 0.4537 0.0000
Sb 0.5463 0.5463 0.0000
Sb 0.6968 0.1968 0.5000
Pb 0.2458 0.2458 0.0000
Pb 0.4028 0.9028 0.5000
Pb 0.5972 0.0972 0.5000
Pb 0.7542 0.7542 0.0000

Computed properties:
M_tot   0.000 μB/f.u.
Space group   Immm



(b)
# Cs3Sb4Pb4

Cs3Sb4Pb4 after structural relaxation (GGA-PBE, the Alexandria database).

a b c (Å): 9.8472 9.8472 6.3340
angles (deg): 101.67 101.67 49.72
Sites, in units of the cell vectors:
Cs 0.0000 0.0000 0.0000
Cs 0.3762 0.3762 0.9057
Cs 0.6238 0.6238 0.0943
Sb 0.2156 0.2156 0.2716
Sb 0.3248 0.6752 0.5000
Sb 0.6752 0.3248 0.5000
Sb 0.7844 0.7844 0.7284
Pb 0.0354 0.6272 0.3568
Pb 0.3728 0.9646 0.6432
Pb 0.6272 0.0354 0.3568
Pb 0.9646 0.3728 0.6432

Computed properties:
M_tot   0.000 μB/f.u.
Space group   C2/m



Energies, relative to the best one, in meV/atom: (a) 0; (b) 7.



(a)
# Cs3SbPb

Cs3SbPb after structural relaxation (GGA-PBE, the Alexandria database).

a b c (Å): 9.2341 9.2341 9.4537
angles (deg): 119.05 119.05 84.79
Sites, in units of the cell vectors:
Cs 0.0649 0.0649 0.3518
Cs 0.1128 0.4706 0.2518
Cs 0.4706 0.1128 0.2518
Cs 0.5294 0.8872 0.7482
Cs 0.8872 0.5294 0.7482
Cs 0.9351 0.9351 0.6482
Sb 0.4346 0.4346 0.7142
Sb 0.5654 0.5654 0.2858
Pb 0.3127 0.3127 0.8885
Pb 0.6873 0.6873 0.1115

Computed properties:
M_tot   0.002 μB/f.u.
Space group   C2/m



(b)
# Cs3SbPb

Cs3SbPb after structural relaxation (GGA-PBE, the Alexandria database).

a b c (Å): 7.3297 7.3297 7.3297
angles (deg): 90.00 90.00 90.00
Sites, in units of the cell vectors:
Cs 0.0000 0.0000 0.5000
Cs 0.0000 0.5000 0.0000
Cs 0.5000 0.0000 0.0000
Sb 0.0000 0.0000 0.0000
Pb 0.5000 0.5000 0.5000

Computed properties:
M_tot   3.892 μB/f.u.
Space group   Pm-3m



Energies, relative to the best one, in meV/atom: (a) 0; (b) 289.



(a)
# Cs3Sb2Pb

Cs3Sb2Pb after structural relaxation (GGA-PBE, the Alexandria database).

a b c (Å): 10.4597 10.4597 10.4597
angles (deg): 127.42 70.96 135.94
Sites, in units of the cell vectors:
Cs 0.1772 0.6975 0.8747
Cs 0.2500 0.2500 0.0000
Cs 0.3228 0.1975 0.5203
Cs 0.6772 0.8025 0.4797
Cs 0.7500 0.7500 0.0000
Cs 0.8228 0.3025 0.1253
Sb 0.0997 0.3088 0.4085
Sb 0.4003 0.8088 0.2092
Sb 0.5997 0.1912 0.7908
Sb 0.9003 0.6912 0.5915
Pb 0.2500 0.7500 0.5000
Pb 0.7500 0.2500 0.5000

Computed properties:
M_tot   0.000 μB/f.u.
Space group   Ibam



(b)
# Cs3Sb2Pb

Cs3Sb2Pb after structural relaxation (GGA-PBE, the Alexandria database).

a b c (Å): 10.7224 10.7224 10.8256
angles (deg): 104.01 104.01 31.56
Sites, in units of the cell vectors:
Cs 0.0599 0.0599 0.1891
Cs 0.1915 0.1915 0.5604
Cs 0.3207 0.3207 0.9517
Cs 0.6793 0.6793 0.0483
Cs 0.8085 0.8085 0.4396
Cs 0.9401 0.9401 0.8109
Sb 0.1171 0.1171 0.8282
Sb 0.4104 0.4104 0.5890
Sb 0.5896 0.5896 0.4110
Sb 0.8829 0.8829 0.1718
Pb 0.4357 0.4357 0.3209
Pb 0.5643 0.5643 0.6791

Computed properties:
M_tot   0.000 μB/f.u.
Space group   C2/m



Energies, relative to the best one, in meV/atom: (a) 0; (b) 80.



(a)
# CsSb3Pb3

CsSb3Pb3 after structural relaxation (GGA-PBE, the Alexandria database).

a b c (Å): 8.6872 8.6872 8.6872
angles (deg): 90.00 90.00 90.00
Sites, in units of the cell vectors:
Cs 0.0000 0.0000 0.0000
Cs 0.5000 0.5000 0.5000
Sb 0.0000 0.2500 0.5000
Sb 0.0000 0.7500 0.5000
Sb 0.2500 0.5000 0.0000
Sb 0.5000 0.0000 0.2500
Sb 0.5000 0.0000 0.7500
Sb 0.7500 0.5000 0.0000
Pb 0.0000 0.5000 0.2500
Pb 0.0000 0.5000 0.7500
Pb 0.2500 0.0000 0.5000
Pb 0.5000 0.2500 0.0000
Pb 0.5000 0.7500 0.0000
Pb 0.7500 0.0000 0.5000

Computed properties:
M_tot   0.000 μB/f.u.
Space group   Pm-3n



(b)
# CsSb3Pb3

CsSb3Pb3 after structural relaxation (GGA-PBE, the Alexandria database).

a b c (Å): 10.3906 10.3906 10.3906
angles (deg): 52.10 52.10 52.10
Sites, in units of the cell vectors:
Cs 0.1668 0.1668 0.1668
Cs 0.8332 0.8332 0.8332
Sb 0.0713 0.4042 0.7384
Sb 0.2616 0.9287 0.5958
Sb 0.4042 0.7384 0.0713
Sb 0.5958 0.2616 0.9287
Sb 0.7384 0.0713 0.4042
Sb 0.9287 0.5958 0.2616
Pb 0.0438 0.7084 0.3748
Pb 0.2916 0.6252 0.9562
Pb 0.3748 0.0438 0.7084
Pb 0.6252 0.9562 0.2916
Pb 0.7084 0.3748 0.0438
Pb 0.9562 0.2916 0.6252

Computed properties:
M_tot   0.000 μB/f.u.
Space group   R-3



Energies, relative to the best one, in meV/atom: (a) 79; (b) 0.